1.
Zr2TaBr (PBE-GGA, relaxed); E_form (uncorrected) = 1.5 eV per formula unit; E above lowest polymorph = 0.640 eV per atom; symmetry = I-4m2 (119)
1.0
-2.010 2.010 5.150
2.010 -2.010 5.150
2.010 2.010 -5.150
Zr Ta Br
2 1 1
Cartesian
0.000 0.000 0.000
0.000 2.010 2.575
0.000 0.000 5.150
2.010 0.000 2.575

---

2.
Zr2TaBr (PBE-GGA, relaxed); E_form (uncorrected) = -0.4 eV per formula unit; E above lowest polymorph = 0.163 eV per atom; symmetry = R-3m (166)
1.0
1.689 0.975 8.874
-1.689 0.975 8.874
0.000 -1.950 8.874
Zr Ta Br
2 1 1
Cartesian
0.000 0.000 6.571
0.000 0.000 20.050
0.000 0.000 13.311
0.000 0.000 0.000

---

3.
ZrTa2Br (PBE-GGA, relaxed); E_form (uncorrected) = 1.9 eV per formula unit; E above lowest polymorph = 0.530 eV per atom; symmetry = I4/mmm (139)
1.0
-1.951 1.951 5.176
1.951 -1.951 5.176
1.951 1.951 -5.176
Zr Ta Br
1 2 1
Cartesian
0.000 0.000 0.000
1.951 0.000 2.588
0.000 1.951 2.588
0.000 0.000 5.176

---

4.
ZrTa4Br (PBE-GGA, relaxed); E_form (uncorrected) = 3.6 eV per formula unit; symmetry = F-43m (216)
1.0
0.000 3.970 3.970
3.970 0.000 3.970
3.970 3.970 0.000
Zr Ta Br
1 4 1
Cartesian
0.000 0.000 0.000
2.956 2.956 2.956
4.983 4.983 2.956
4.983 2.956 4.983
2.956 4.983 4.983
5.954 5.954 5.954

---

5.
ZrTa2Br (PBE-GGA, relaxed); E_form (uncorrected) = 1.6 eV per formula unit; E above lowest polymorph = 0.459 eV per atom; symmetry = Pmmm (47)
1.0
3.377 0.000 0.000
0.000 4.496 0.000
0.000 0.000 5.194
Zr Ta Br
1 2 1
Cartesian
0.000 0.000 0.000
0.000 2.248 2.597
1.689 0.000 2.597
1.689 2.248 0.000

---

6.
Zr2TaBr (PBE-GGA, relaxed); E_form (uncorrected) = 0.6 eV per formula unit; E above lowest polymorph = 0.394 eV per atom; symmetry = Cmm2 (35)
1.0
1.807 -2.574 0.000
1.807 2.574 0.000
0.000 0.000 9.215
Zr Ta Br
2 1 1
Cartesian
0.000 0.000 0.000
1.807 0.000 2.459
1.807 0.000 7.013
0.000 0.000 4.698

---

7.
Zr2TaBr (PBE-GGA, relaxed); E_form (uncorrected) = -0.6 eV per formula unit; E above lowest polymorph = 0.111 eV per atom; symmetry = P4/mmm (123)
1.0
3.374 0.000 0.000
0.000 3.374 0.000
0.000 0.000 8.016
Zr Ta Br
2 1 1
Cartesian
0.000 0.000 1.670
0.000 0.000 6.345
1.687 1.687 0.000
1.687 1.687 4.008

---

8.
Zr2TaBr (PBE-GGA, relaxed); E_form (uncorrected) = 1.6 eV per formula unit; E above lowest polymorph = 0.648 eV per atom; symmetry = I4/mmm (139)
1.0
-2.253 2.253 4.152
2.253 -2.253 4.152
2.253 2.253 -4.152
Zr Ta Br
2 1 1
Cartesian
2.253 0.000 2.076
0.000 2.253 2.076
0.000 0.000 0.000
0.000 0.000 4.152

---

9.
ZrTa2Br (PBE-GGA, relaxed); E_form (uncorrected) = 2.5 eV per formula unit; E above lowest polymorph = 0.669 eV per atom; symmetry = I-42d (122)
1.0
-1.979 1.979 10.618
1.979 -1.979 10.618
1.979 1.979 -10.618
Zr Ta Br
2 4 2
Cartesian
0.000 0.000 0.000
0.000 1.979 5.309
2.968 0.968 -2.655
0.968 0.989 2.655
-0.989 1.011 7.964
1.011 0.989 13.273
1.979 0.000 5.309
0.000 0.000 10.618

---

10.
ZrTa2Br (PBE-GGA, relaxed); E_form (uncorrected) = 1.9 eV per formula unit; E above lowest polymorph = 0.514 eV per atom; symmetry = P4/mmm (123)
1.0
3.017 0.000 0.000
0.000 3.017 0.000
0.000 0.000 8.627
Zr Ta Br
1 2 1
Cartesian
0.000 0.000 0.000
1.508 1.508 2.361
1.508 1.508 6.267
0.000 0.000 4.314

---

11.
Zr4TaBr (PBE-GGA, relaxed); E_form (uncorrected) = 3.8 eV per formula unit; symmetry = F-43m (216)
1.0
0.000 4.095 4.095
4.095 0.000 4.095
4.095 4.095 0.000
Zr Ta Br
4 1 1
Cartesian
3.100 3.100 3.100
5.090 5.090 3.100
5.090 3.100 5.090
3.100 5.090 5.090
6.143 6.143 6.143
0.000 0.000 0.000

---

12.
ZrTa2Br (PBE-GGA, relaxed); E_form (uncorrected) = 0.4 eV per formula unit; E above lowest polymorph = 0.151 eV per atom; symmetry = Cmm2 (35)
1.0
1.749 -2.575 0.000
1.749 2.575 0.000
0.000 0.000 9.041
Zr Ta Br
1 2 1
Cartesian
0.000 0.000 0.000
0.000 0.000 4.355
1.749 0.000 2.304
1.749 0.000 6.760

---

13.
ZrTa2Br (PBE-GGA, relaxed); E_form (uncorrected) = 2.8 eV per formula unit; E above lowest polymorph = 0.737 eV per atom; symmetry = P4/mmm (123)
1.0
4.630 0.000 0.000
0.000 4.630 0.000
0.000 0.000 3.666
Zr Ta Br
1 2 1
Cartesian
0.000 0.000 0.000
0.000 2.315 1.833
2.315 0.000 1.833
2.315 2.315 0.000

---

14.
Zr2TaBr (PBE-GGA, relaxed); E_form (uncorrected) = 0.8 eV per formula unit; E above lowest polymorph = 0.459 eV per atom; symmetry = Imm2 (44)
1.0
-1.661 2.378 5.441
1.661 -2.378 5.441
1.661 2.378 -5.441
Zr Ta Br
2 1 1
Cartesian
0.000 0.000 0.000
0.000 2.378 2.548
0.000 0.000 5.512
1.661 0.000 3.328

---

15.
Zr3TaBr (PBE-GGA, relaxed); E_form (uncorrected) = 3.2 eV per formula unit; E above lowest polymorph = 0.000 eV per atom; symmetry = Pm-3m (221)
1.0
4.918 0.000 0.000
0.000 4.918 0.000
0.000 0.000 4.918
Zr Ta Br
3 1 1
Cartesian
0.000 0.000 2.459
0.000 2.459 0.000
2.459 0.000 0.000
2.459 2.459 2.459
0.000 0.000 0.000

---

16.
Zr2TaBr (PBE-GGA, relaxed); E_form (uncorrected) = 0.5 eV per formula unit; E above lowest polymorph = 0.390 eV per atom; symmetry = Pm (6)
1.0
3.147 0.000 0.000
0.000 5.198 0.000
-1.461 0.000 5.313
Zr Ta Br
2 1 1
Cartesian
0.000 0.000 0.000
-0.003 2.599 3.538
1.477 0.000 2.650
-0.033 2.599 0.650

---

17.
Zr2TaBr (PBE-GGA, relaxed); E_form (uncorrected) = 2.4 eV per formula unit; E above lowest polymorph = 0.846 eV per atom; symmetry = F-43m (216)
1.0
0.000 3.458 3.458
3.458 0.000 3.458
3.458 3.458 0.000
Zr Ta Br
2 1 1
Cartesian
0.000 0.000 0.000
1.729 1.729 1.729
3.458 3.458 3.458
5.187 5.187 5.187

---

18.
Tb5Br8 (PBE-GGA, relaxed); E_form (uncorrected) = -19.2 eV per formula unit; symmetry = C2/m (12)
1.0
10.214 -1.960 0.000
10.214 1.960 0.000
-9.359 0.000 10.511
Tb Br
5 8
Cartesian
0.000 0.000 0.000
-3.149 0.000 6.876
4.161 0.000 6.552
6.909 0.000 3.959
14.218 0.000 3.635
-1.603 0.000 2.363
2.058 0.000 4.573
5.061 0.000 1.746
-0.856 0.000 9.351
11.926 0.000 1.160
6.009 0.000 8.765
9.012 0.000 5.939
12.672 0.000 8.148

---

19.
Tb2Br3 (PBE-GGA, relaxed); E_form (uncorrected) = -6.0 eV per formula unit; symmetry = R-3c (167)
1.0
3.272 1.889 7.914
-3.272 1.889 7.914
0.000 -3.778 7.914
Tb Br
4 6
Cartesian
0.000 0.000 3.998
0.000 0.000 7.874
0.000 0.000 15.869
0.000 0.000 19.745
-2.179 0.003 9.893
-1.092 -1.886 13.850
1.087 -1.889 9.893
-1.087 1.889 13.850
1.092 1.886 9.893
2.179 -0.003 13.850

---

20.
TbBr2 (PBE-GGA, relaxed); E_form (uncorrected) = -5.0 eV per formula unit; symmetry = C222_1 (20)
1.0
1.939 -3.359 0.000
1.939 3.359 0.000
0.000 0.000 31.255
Tb Br
4 8
Cartesian
0.942 0.005 3.860
0.942 -0.005 27.395
2.936 0.005 11.768
2.936 -0.005 19.487
0.996 1.126 13.639
0.997 1.125 9.896
0.996 -1.126 17.616
0.997 -1.125 21.359
2.882 1.125 5.732
2.882 1.126 1.988
2.882 -1.125 25.523
2.882 -1.126 29.267